No. 1
# Tl3In4Hg6

Crystalline Tl3In4Hg6 at its relaxed geometry (GGA-PBE, the Alexandria database).

Geometry as extended XYZ:
```
13
Lattice="-7.903 -0.602 12.496 2.284 0.786 12.560 -6.749 2.437 14.057" Properties=species:S:1:pos:R:3 pbc="T T T"
Tl 0.000 0.000 0.000
Tl -3.674 1.541 12.295
Tl -8.695 1.080 26.818
In -2.882 0.549 8.848
In -9.486 2.072 30.265
In -6.640 1.827 21.200
In -5.728 0.794 17.913
Hg -11.957 1.894 28.358
Hg -9.124 1.585 19.311
Hg -4.043 2.134 22.971
Hg -3.244 1.035 19.802
Hg -8.326 0.487 16.142
Hg -0.412 0.726 10.755
```

- formation enthalpy at 0 K (eV/atom) = -0.01

No. 2
# KAu2Br

Crystalline KAu2Br at its relaxed geometry (GGA-PBE, the Alexandria database).

Geometry as extended XYZ:
```
4
Lattice="3.904 0.000 0.000 0.000 3.902 0.000 0.000 0.000 7.708" Properties=species:S:1:pos:R:3 pbc="T T T"
Au 0.000 0.000 1.062
Au 1.952 1.951 1.034
Br 0.000 0.000 3.997
K 1.952 1.951 5.469
```

- E above lowest polymorph (meV per atom) = 8
- uncorrected formation energy (meV per atom) = -448

No. 3
# MgSi2Ag

Crystalline MgSi2Ag at its relaxed geometry (GGA-PBE, the Alexandria database).

Geometry as extended XYZ:
```
4
Lattice="5.003 0.064 0.091 4.110 2.852 0.091 1.035 0.331 4.890" Properties=species:S:1:pos:R:3 pbc="T T T"
Ag 7.611 2.436 3.804
Mg 2.537 0.812 1.268
Si 0.108 0.034 0.106
Si 4.966 1.589 2.430
```

- uncorrected formation energy (meV per atom) = 215

No. 4
# PaTlSe2N

Crystalline PaTlSe2N at its relaxed geometry (GGA-PBE, the Alexandria database).

Geometry as extended XYZ:
```
10
Lattice="-2.685 1.402 2.539 -0.023 -3.470 1.892 10.869 4.762 8.865" Properties=species:S:1:pos:R:3 pbc="T T T"
Pa 4.962 3.463 6.412
Pa 4.553 0.265 4.669
Tl -0.191 1.206 2.209
Tl 9.706 2.523 8.872
Se 7.335 1.484 6.938
Se 1.214 -1.198 1.945
Se 8.301 4.926 9.135
Se 2.180 2.244 4.142
N 5.434 2.381 4.433
N 4.080 1.347 6.648
```

- uncorrected formation energy (meV per atom) = -1094

No. 5
# Mg3RuAu

Crystalline Mg3RuAu at its relaxed geometry (GGA-PBE, the Alexandria database).

Geometry as extended XYZ:
```
5
Lattice="-3.146 -3.491 -1.254 -0.208 -1.476 4.630 -3.704 3.049 0.806" Properties=species:S:1:pos:R:3 pbc="T T T"
Ru 0.000 0.000 0.000
Mg -0.104 -0.738 2.315
Mg -1.852 1.524 0.403
Mg -1.573 -1.746 -0.627
Au -3.529 -0.959 2.091
```

- E above lowest polymorph (meV per atom) = 0
- formation enthalpy at 0 K (eV/atom) = 0.42

No. 6
# Nd7IrBr12

Crystalline Nd7IrBr12 at its relaxed geometry (GGA-PBE, the Alexandria database).

Geometry as extended XYZ:
```
20
Lattice="9.198 -0.076 -2.716 -3.613 8.459 -2.716 -0.051 -0.076 9.590" Properties=species:S:1:pos:R:3 pbc="T T T"
Nd 6.481 5.685 4.058
Nd 2.483 0.857 -0.938
Nd 0.872 0.136 2.646
Nd 2.767 4.153 2.080
Nd 4.662 8.171 1.513
Nd 3.051 7.450 5.097
Nd -0.947 2.622 0.102
Ir 0.000 0.000 0.000
Br 7.324 2.575 4.113
Br 5.464 1.789 -1.732
Br 3.621 1.363 1.936
Br 5.380 5.136 1.219
Br 1.707 0.555 5.730
Br 3.713 4.440 4.829
Br 1.821 3.867 -0.670
Br 3.827 7.751 -1.571
Br 0.154 3.170 2.940
Br 1.913 6.943 2.223
Br 0.070 6.517 5.892
Br -1.790 5.731 0.046
```

- uncorrected formation energy (meV per atom) = -1648

No. 7
# AlIn2Cl

Crystalline AlIn2Cl at its relaxed geometry (GGA-PBE, the Alexandria database).

Geometry as extended XYZ:
```
4
Lattice="-6.936 -6.190 2.725 -7.168 -6.480 -0.695 -4.838 -8.329 1.033" Properties=species:S:1:pos:R:3 pbc="T T T"
Cl -14.207 -15.750 2.297
Al -4.736 -5.250 0.766
In -0.045 -0.050 0.007
In -9.426 -10.449 1.524
```

- E above lowest polymorph (meV per atom) = 94
- uncorrected formation energy (meV per atom) = -139